1.
DFT (PBE) results for an optimized crystal structure of SrPbSe2.

Computed properties:
The value obtained for the uncorrected formation energy is -118.8 kJ per mole of atoms. For the calculated total energy, the calculation gives -4.321 eV/atom. The space group is R3m (160).

a = 7.9859 Å, b = 7.9859 Å, c = 7.9859 Å
α = 31.56°, β = 31.56°, γ = 31.56°
Last column: nearest neighbours and their distance in Å.
Positions (direct):
Sr: 0.0000 0.0000 0.0000  6 Se 3.13-3.18
Pb: 0.1688 0.1688 0.1688  6 Se 3.12-3.14
Se: 0.5840 0.5840 0.5840  3 Pb 3.12, 3 Sr 3.13
Se: 0.7526 0.7526 0.7526  3 Pb 3.14, 3 Sr 3.18



2.
DFT (PBE) results for an optimized crystal structure of Ca2Pd2Pt.

Computed properties:
For the calculated total energy, the calculation gives -4.840 eV/atom. The space group is Immm (71).

a = 5.5446 Å, b = 5.5446 Å, c = 5.5446 Å
α = 131.34°, β = 120.62°, γ = 80.22°
Last column: nearest neighbours and their distance in Å.
Positions (direct):
Ca: 0.1988 0.1988 0.0000  6 Pd 2.92-3.14, 2 Pt 3.22
Ca: 0.8012 0.8012 0.0000  6 Pd 2.92-3.14, 2 Pt 3.22
Pd: 0.2426 0.5000 0.7426  2 Pd 2.66-2.83, 2 Pt 2.69, 2 Ca 2.92
Pd: 0.7574 0.5000 0.2574  2 Pd 2.66-2.83, 2 Pt 2.69, 2 Ca 2.92
Pt: 0.5000 0.0000 0.5000  4 Pd 2.69



3.
DFT (PBE) results for an optimized crystal structure of GdScBeNi.

Computed properties:
For the calculated total energy, the calculation gives -7.611 eV/atom. The space group is F-43m (216).

a = 4.6787 Å, b = 4.6787 Å, c = 4.6787 Å
α = 60.00°, β = 60.00°, γ = 60.00°
Last column: nearest neighbours and their distance in Å.
Positions (direct):
Gd: 0.0000 0.0000 0.0000  4 Ni 2.87, 4 Be 2.87
Sc: 0.5000 0.5000 0.5000  4 Ni 2.87, 4 Be 2.87
Be: 0.2500 0.2500 0.2500  4 Sc 2.87, 4 Gd 2.87
Ni: 0.7500 0.7500 0.7500  4 Sc 2.87, 4 Gd 2.87



4.
DFT (PBE) results for an optimized crystal structure of TaRhCl2.

Computed properties:
The value obtained for the uncorrected formation energy is 0.4 kJ per mole of atoms. For the calculated total energy, the calculation gives -5.720 eV/atom. The space group is Imm2 (44).

a = 6.4243 Å, b = 6.4243 Å, c = 6.4243 Å
α = 152.15°, β = 135.45°, γ = 53.36°
Last column: nearest neighbours and their distance in Å.
Positions (direct):
Ta: 0.0000 0.0000 0.0000  2 Rh 2.40, 2 Cl 2.65
Rh: 0.8396 0.3396 0.5000  2 Ta 2.40
Cl: 0.1873 0.6873 0.5000  2 Ta 2.65
Cl: 0.5088 0.5088 0.0000  4 Ta 2.89, 4 Cl 3.09-3.18, 2 Rh 3.11



5.
DFT (PBE) results for an optimized crystal structure of Tm3B3O7.

Computed properties:
The value obtained for the uncorrected formation energy is -243.7 kJ per mole of atoms. For the calculated total energy, the calculation gives -7.768 eV/atom. The space group is Amm2 (38).

a = 24.9997 Å, b = 3.9328 Å, c = 3.9328 Å
α = 55.63°, β = 90.00°, γ = 90.00°
Last column: nearest neighbours and their distance in Å.
Positions (direct):
Tm: 0.0819 0.0000 0.0000  6 O 2.31-2.50
Tm: 0.2455 0.0040 0.0040  5 O 2.16-2.34
Tm: 0.4183 0.0048 0.0048  5 O 2.16-2.34
Tm: 0.5817 0.0048 0.0048  5 O 2.16-2.34
Tm: 0.7545 0.0040 0.0040  5 O 2.16-2.34
Tm: 0.9181 0.0000 0.0000  6 O 2.31-2.50
B: 0.0000 0.2361 0.2361  2 O 1.39
B: 0.1636 0.7645 0.7645  2 O 1.39-1.40
B: 0.3319 0.3773 0.3773  2 O 1.35
B: 0.5000 0.7662 0.7662  2 O 1.40
B: 0.6681 0.3773 0.3773  2 O 1.35
B: 0.8364 0.7645 0.7645  2 O 1.39-1.40
O: 0.0482 0.3363 0.3363  1 B 1.39
O: 0.1158 0.6619 0.6619  1 B 1.39
O: 0.2122 0.6654 0.6654  1 B 1.40
O: 0.2794 0.3343 0.3343  1 B 1.35
O: 0.3319 0.9903 0.9903  2 B 2.00, 2 Tm 2.16
O: 0.3845 0.3345 0.3345  1 B 1.35
O: 0.4518 0.6648 0.6648  1 B 1.40
O: 0.5482 0.6648 0.6648  1 B 1.40
O: 0.6155 0.3345 0.3345  1 B 1.35
O: 0.6681 0.9903 0.9903  2 B 2.00, 2 Tm 2.16
O: 0.7206 0.3343 0.3343  1 B 1.35
O: 0.7878 0.6654 0.6654  1 B 1.40
O: 0.8842 0.6619 0.6619  1 B 1.39
O: 0.9518 0.3363 0.3363  1 B 1.39



6.
DFT (PBE) results for an optimized crystal structure of EuSnPb2.

Computed properties:
For the calculated total energy, the calculation gives -5.685 eV/atom. The space group is P4/mmm (123).

a = 4.1816 Å, b = 4.1816 Å, c = 7.0020 Å
α = 90.00°, β = 90.00°, γ = 90.00°
Last column: nearest neighbours and their distance in Å.
Positions (direct):
Eu: 0.0000 0.0000 0.0000  2 Sn 3.50, 8 Pb 3.52
Sn: 0.0000 0.0000 0.5000  8 Pb 3.35, 2 Eu 3.50
Pb: 0.5000 0.5000 0.2737  1 Pb 3.17, 4 Sn 3.35, 4 Eu 3.52
Pb: 0.5000 0.5000 0.7263  1 Pb 3.17, 4 Sn 3.35, 4 Eu 3.52



7.
DFT (PBE) results for an optimized crystal structure of Sc2CoSi2.

Computed properties:
The value obtained for the uncorrected formation energy is -73.1 kJ per mole of atoms. For the calculated total energy, the calculation gives -6.881 eV/atom. The space group is P4/mbm (127).

a = 6.1681 Å, b = 6.1681 Å, c = 4.1866 Å
α = 90.00°, β = 90.00°, γ = 90.00°
Last column: nearest neighbours and their distance in Å.
Positions (direct):
Sc: 0.1717 0.3283 0.0000  6 Si 2.66-2.85
Sc: 0.3283 0.8283 0.0000  6 Si 2.66-2.85
Sc: 0.6717 0.1717 0.0000  6 Si 2.66-2.85
Sc: 0.8283 0.6717 0.0000  6 Si 2.66-2.85
Co: 0.0000 0.0000 0.5000  4 Si 2.38
Co: 0.5000 0.5000 0.5000  4 Si 2.38
Si: 0.1396 0.6395 0.5000  2 Co 2.38, 1 Si 2.43, 2 Sc 2.66
Si: 0.3604 0.1396 0.5000  2 Co 2.38, 1 Si 2.43, 2 Sc 2.66
Si: 0.6395 0.8604 0.5000  2 Co 2.38, 1 Si 2.43, 2 Sc 2.66
Si: 0.8604 0.3604 0.5000  2 Co 2.38, 1 Si 2.43, 2 Sc 2.66



8.
DFT (PBE) results for an optimized crystal structure of ZrTiNbNi.

Computed properties:
For the calculated total energy, the calculation gives -8.135 eV/atom. The space group is F-43m (216).

a = 4.5623 Å, b = 4.5623 Å, c = 4.5623 Å
α = 60.00°, β = 60.00°, γ = 60.00°
Last column: nearest neighbours and their distance in Å.
Positions (direct):
Zr: 0.0000 0.0000 0.0000  4 Ni 2.79, 4 Nb 2.79
Ti: 0.5000 0.5000 0.5000  4 Ni 2.79, 4 Nb 2.79
Nb: 0.2500 0.2500 0.2500  4 Ti 2.79, 4 Zr 2.79
Ni: 0.7500 0.7500 0.7500  4 Ti 2.79, 4 Zr 2.79



> The highest calculated total energy belongs to which entry?

SrPbSe2